Density functional theory data (PBE-GGA) for ErGe2Ru4 after structural relaxation.

Cell lengths 7.595, 7.595, 3.949 Å; angles 90.00, 90.00, 90.00 degrees
Space group P4_2/mnm (No. 136)
One atom of each set of equivalent atoms:
Er 0.000 0.000 0.000
Ge 0.215 0.215 0.500
Ru 0.082 0.654 0.500

Calculated values
- DFT total energy: -107.66 eV/cell
- Formation energy from the elements: -40.4 kJ/mol of atoms
- D(E_F): 6.0 states/eV/f.u.

Density functional theory data (PBE-GGA) for MnBe2Cl after structural relaxation.

Cell lengths 2.731, 3.923, 5.301 Å; angles 90.00, 90.00, 90.00 degrees
Space group Pmmm (No. 47)
One atom of each set of equivalent atoms:
Mn 0.000 0.000 0.000
Be 0.000 0.500 0.500
Be 0.500 0.000 0.500
Cl 0.500 0.500 0.000

Calculated values
- DFT total energy: -16.11 eV/cell
- Offset from the most stable computed form: 0.5188 eV per atom
- Formation energy from raw total energies: 0.590 eV per atom
- D(E_F): 1.7 states/eV/f.u.

Density functional theory data (PBE-GGA) for Li2As2N after structural relaxation.

Cell lengths 6.018, 6.018, 4.168 Å; angles 90.00, 90.00, 90.00 degrees
Space group P4/mbm (No. 127)
One atom of each set of equivalent atoms:
Li 0.160 0.340 0.000
As 0.155 0.655 0.500
N 0.000 0.000 0.500

Calculated values
- DFT total energy: -40.13 eV/cell
- Offset from the most stable computed form: 0.0000 eV per atom
- Formation energy from raw total energies: 0.278 eV per atom
- D(E_F): 2.2 states/eV/f.u.

Density functional theory data (PBE-GGA) for NdAlOs2 after structural relaxation.

Cell lengths 2.9518, 2.9518, 27.4944 Å; angles 90.00, 90.00, 120.00 degrees
Space group R-3m (No. 166, hexagonal axes)
One atom of each set of equivalent atoms:
Nd 0.0000 0.0000 0.0000
Al 0.0000 0.0000 0.5000
Os 0.0000 0.0000 0.2377

Calculated values
- DFT total energy: -88.53 eV/cell
- Formation energy from the elements: 35.2 kJ/mol of atoms
- D(E_F): 3.8 states/eV/f.u.

Density functional theory data (PBE-GGA) for TiNiPt3 after structural relaxation.

Cell lengths 4.185, 5.450, 7.007 Å; angles 90.00, 90.00, 90.00 degrees
Space group Pmmn (No. 59, origin choice 2)
One atom of each set of equivalent atoms:
Ti 0.250 0.250 0.172
Ni 0.250 0.750 0.433
Pt 0.250 0.006 0.727
Pt 0.250 0.750 0.072

Calculated values
- DFT total energy: -67.13 eV/cell
- Offset from the most stable computed form: 0.2772 eV per atom
- Formation energy from the elements: -34.1 kJ/mol of atoms
- D(E_F): 6.7 states/eV/f.u.

Density functional theory data (PBE-GGA) for SmGaTc after structural relaxation.

Cell lengths 5.356, 5.749, 7.537 Å; angles 90.00, 90.00, 90.00 degrees
Space group Imma (No. 74)
One atom of each set of equivalent atoms:
Sm 0.000 0.250 0.114
Ga 0.000 0.000 0.500
Tc 0.250 0.250 0.750

Calculated values
- DFT total energy: -77.13 eV/cell
- Offset from the most stable computed form: 0.0000 eV per atom
- Formation energy from the elements: -37.6 kJ/mol of atoms
- D(E_F): 1.9 states/eV/f.u.

Density functional theory data (PBE-GGA) for KB2Ir2 after structural relaxation.

Cell lengths 3.246, 3.246, 16.090 Å; angles 90.00, 90.00, 90.00 degrees
Space group I4/mmm (No. 139)
One atom of each set of equivalent atoms:
K 0.000 0.000 0.000
B 0.000 0.500 0.250
Ir 0.000 0.000 0.333

Calculated values
- DFT total energy: -62.18 eV/cell
- Offset from the most stable computed form: 0.4705 eV per atom
- Formation energy from the elements: 21.0 kJ/mol of atoms
- D(E_F): 1.6 states/eV/f.u.

Density functional theory data (PBE-GGA) for Tl2FeAu after structural relaxation.

Cell lengths 4.563, 4.563, 4.052 Å; angles 90.00, 90.00, 90.00 degrees
Space group P4/mmm (No. 123)
One atom of each set of equivalent atoms:
Tl 0.000 0.500 0.000
Fe 0.000 0.000 0.500
Au 0.500 0.500 0.500

Calculated values
- DFT total energy: -14.66 eV/cell
- Offset from the most stable computed form: 0.1693 eV per atom
- Formation energy from the elements: 43.7 kJ/mol of atoms
- D(E_F): 2.7 states/eV/f.u.